Entry 1:
Density functional theory data (GGA-PBE) for Mg3TlSn2 after structural relaxation.

Lattice parameters (Å, degrees): 5.0454 16.7848 3.5057 90.00 90.00 90.00
Positions (direct):
Mg  0.0000  0.0000  0.0000
Mg  0.0000  0.3171  0.0000
Mg  0.0000  0.6829  0.0000
Mg  0.5000  0.1829  0.0000
Mg  0.5000  0.5000  0.0000
Mg  0.5000  0.8171  0.0000
Tl  0.0000  0.5000  0.5000
Tl  0.5000  0.0000  0.5000
Sn  0.0000  0.1554  0.5000
Sn  0.0000  0.8446  0.5000
Sn  0.5000  0.3446  0.5000
Sn  0.5000  0.6554  0.5000

Output
The calculation puts the density of states at the Fermi level at 1.4 states/eV/f.u. Its symmetry is Cmmm. Its formation energy is -0.091 eV per atom.

***

Entry 2:
Density functional theory data (GGA-PBE) for ScBe after structural relaxation.

Lattice parameters (Å, degrees): 3.2837 3.2837 7.5611 90.00 90.00 120.00
Positions (direct):
Sc  0.3333  0.6667  0.2500
Sc  0.6667  0.3333  0.7500
Be  0.0000  0.0000  0.0000
Be  0.0000  0.0000  0.5000

Output
The calculation puts the density of states at the Fermi level at 1.4 states/eV/f.u. Its symmetry is P6_3/mmc. Its formation energy is 0.312 eV per atom.

***

Entry 3:
Density functional theory data (GGA-PBE) for LaNpAlO6 after structural relaxation.

Lattice parameters (Å, degrees): 5.2883 5.2883 10.4810 90.00 90.00 120.00
Positions (direct):
La  0.0000  0.0000  0.0000
La  0.0000  0.0000  0.5000
Np  0.3333  0.6667  0.2500
Np  0.6667  0.3333  0.7500
Al  0.3333  0.6667  0.7500
Al  0.6667  0.3333  0.2500
O  0.0186  0.3734  0.6456
O  0.0186  0.6452  0.8544
O  0.3548  0.3734  0.8544
O  0.3548  0.9814  0.6456
O  0.3734  0.0186  0.1456
O  0.3734  0.3548  0.3544
O  0.6266  0.6452  0.6456
O  0.6266  0.9814  0.8544
O  0.6452  0.0186  0.3544
O  0.6452  0.6266  0.1456
O  0.9814  0.3548  0.1456
O  0.9814  0.6266  0.3544

Output
Its symmetry is P-31c. Its uncorrected formation energy is -3.0431 eV per atom.

***

Entry 4:
Density functional theory data (GGA-PBE) for GdCoB4 after structural relaxation.

Lattice parameters (Å, degrees): 5.9232 11.4722 3.4057 90.00 90.00 90.00
Positions (direct):
Gd  0.1275  0.1501  0.0000
Gd  0.3725  0.6501  0.0000
Gd  0.6275  0.3499  0.0000
Gd  0.8725  0.8499  0.0000
Co  0.1345  0.4109  0.0000
Co  0.3655  0.9109  0.0000
Co  0.6345  0.0891  0.0000
Co  0.8655  0.5891  0.0000
B  0.0220  0.6900  0.5000
B  0.1108  0.5458  0.5000
B  0.1402  0.9672  0.5000
B  0.2187  0.8160  0.5000
B  0.2813  0.3160  0.5000
B  0.3598  0.4672  0.5000
B  0.3892  0.0458  0.5000
B  0.4780  0.1900  0.5000
B  0.5220  0.8100  0.5000
B  0.6108  0.9542  0.5000
B  0.6402  0.5328  0.5000
B  0.7187  0.6840  0.5000
B  0.7813  0.1840  0.5000
B  0.8598  0.0328  0.5000
B  0.8892  0.4542  0.5000
B  0.9780  0.3100  0.5000

Output
The calculation puts the density of states at the Fermi level at 2.3 states/eV/f.u. Its symmetry is Pbam. Its formation energy is -0.557 eV per atom.